# PBEsol TaMn2Zn, optimized geometry
# - calculated formation energy (eV/atom) = 0.00
# - total magnetization (μB per cell) = 2.9
data_TaMn2Zn
_cell_length_a 4.029
_cell_length_b 4.029
_cell_length_c 3.216
_cell_angle_alpha 90.00
_cell_angle_beta 90.00
_cell_angle_gamma 90.00
_space_group_name_H-M_alt 'P 4/m m m'
_space_group_IT_number 123
_space_group_name_Hall '-P 4 2'
loop_
_atom_site_label
_atom_site_fract_x
_atom_site_fract_y
_atom_site_fract_z
Ta1 0.000 0.000 0.000
Mn1 0.000 0.500 0.500
Zn1 0.500 0.500 0.000

# PBEsol Na2Al2Bi, optimized geometry
# - calculated formation energy (eV/atom) = 0.21
# - total magnetization (μB per cell) = 0.0
data_Na2Al2Bi
_cell_length_a 4.210
_cell_length_b 4.210
_cell_length_c 14.354
_cell_angle_alpha 90.00
_cell_angle_beta 90.00
_cell_angle_gamma 90.00
_space_group_name_H-M_alt 'I 4/m m m'
_space_group_IT_number 139
_space_group_name_Hall '-I 4 2'
loop_
_atom_site_label
_atom_site_fract_x
_atom_site_fract_y
_atom_site_fract_z
Na1 0.000 0.500 0.250
Al1 0.000 0.000 0.088
Bi1 0.000 0.000 0.500

# PBEsol TmCdNi4, optimized geometry
# - calculated formation energy (eV/atom) = -0.40
# - total magnetization (μB per cell) = 0.0
data_TmCdNi4
_cell_length_a 6.875
_cell_length_b 6.875
_cell_length_c 6.875
_cell_angle_alpha 90.00
_cell_angle_beta 90.00
_cell_angle_gamma 90.00
_space_group_name_H-M_alt 'F -4 3 m'
_space_group_IT_number 216
_space_group_name_Hall 'F -4 2 3'
loop_
_atom_site_label
_atom_site_fract_x
_atom_site_fract_y
_atom_site_fract_z
Tm1 0.000 0.000 0.000
Cd1 0.250 0.250 0.250
Ni1 0.124 0.124 0.624

# PBEsol Na2YOsAu, optimized geometry
# - calculated formation energy (eV/atom) = 2.10
# - total magnetization (μB per cell) = 2.0
data_Na2YOsAu
_cell_length_a 5.408
_cell_length_b 5.408
_cell_length_c 4.998
_cell_angle_alpha 90.00
_cell_angle_beta 90.00
_cell_angle_gamma 90.00
_space_group_name_H-M_alt 'P 4/m m m'
_space_group_IT_number 123
_space_group_name_Hall '-P 4 2'
loop_
_atom_site_label
_atom_site_fract_x
_atom_site_fract_y
_atom_site_fract_z
Na1 0.000 0.500 0.000
Y1 0.000 0.000 0.000
Os1 0.500 0.500 0.500
Au1 0.000 0.000 0.500